1.
A plane-wave DFT calculation with PBE was carried out for crystalline Y2ErRh9 at its relaxed geometry.

The structure in extended XYZ format:
```
12
Lattice="2.626 1.516 8.788 -2.626 1.516 8.788 0.000 -3.032 8.788" Properties=species:S:1:pos:R:3 pbc="T T T"
Y 0.000 0.000 3.658
Y 0.000 0.000 22.706
Er 0.000 0.000 0.000
Rh -1.314 -0.758 10.960
Rh 0.000 0.000 8.779
Rh 0.000 -1.517 15.404
Rh -1.314 0.758 15.404
Rh 0.000 0.000 13.182
Rh 1.314 -0.758 10.960
Rh 0.000 1.517 10.960
Rh 0.000 0.000 17.584
Rh 1.314 0.758 15.404
```

Results
Total magnetization = 0.00 μB/f.u.
SG = R-3m (166)
E = -7.5330 eV/atom

2.
A plane-wave DFT calculation with PBE was carried out for crystalline CaTb2Y3Te6 at its relaxed geometry.

The structure in extended XYZ format:
```
12
Lattice="9.570 -2.192 0.000 9.570 2.192 0.000 -2.058 0.000 8.550" Properties=species:S:1:pos:R:3 pbc="T T T"
Ca 0.000 0.000 0.000
Tb 4.933 0.000 5.617
Tb 12.149 0.000 2.933
Y -1.029 0.000 4.275
Y 6.019 0.000 1.500
Y 11.064 0.000 7.050
Te 1.943 0.000 4.978
Te 3.034 0.000 0.701
Te 7.996 0.000 6.396
Te 9.087 0.000 2.154
Te 14.049 0.000 7.849
Te 15.139 0.000 3.572
```

Results
Total magnetization = 0.00 μB/f.u.
SG = C2/m (12)
Uncorrected formation energy = -16.4 eV/f.u.

3.
A plane-wave DFT calculation with PBE was carried out for crystalline LaSn2Pt at its relaxed geometry.

The structure in extended XYZ format:
```
16
Lattice="-2.360 4.791 8.920 2.360 -4.791 8.920 2.360 4.791 -8.920" Properties=species:S:1:pos:R:3 pbc="T T T"
La 0.000 0.000 3.650
La 0.000 2.288 0.000
La 0.000 7.293 0.000
La 0.000 0.000 14.190
Sn 2.360 0.000 1.389
Sn 2.360 -1.503 5.400
Sn 0.000 0.000 7.482
Sn 2.360 1.503 5.400
Sn 0.000 3.288 3.519
Sn 0.000 0.000 10.358
Sn 0.000 6.293 3.519
Sn 0.000 4.791 7.531
Pt 2.360 2.364 -2.661
Pt 2.360 2.364 2.661
Pt 0.000 2.426 6.259
Pt 0.000 2.426 11.581
```

Results
Total magnetization = 0.00 μB/f.u.
SG = Immm (71)
E = -5.6268 eV/atom

4.
A plane-wave DFT calculation with PBE was carried out for crystalline BaCrNi at its relaxed geometry.

The structure in extended XYZ format:
```
12
Lattice="7.905 0.000 0.000 0.000 3.468 0.000 0.000 0.000 10.279" Properties=species:S:1:pos:R:3 pbc="T T T"
Ba 0.534 0.867 1.858
Ba 3.419 2.601 6.997
Ba 4.486 0.867 3.282
Ba 7.371 2.601 8.422
Cr 0.665 0.867 5.403
Cr 3.288 2.601 0.264
Cr 4.617 0.867 10.016
Cr 7.240 2.601 4.876
Ni 1.734 2.601 4.186
Ni 2.219 0.867 9.326
Ni 5.686 2.601 0.953
Ni 6.171 0.867 6.093
```

Results
Total magnetization = 0.00 μB/f.u.
SG = Pnma (62)
Energy above the most stable polymorph in this dataset = 0.288 eV/atom